The following is a DFT calculation (meta-GGA SCAN) of NbPCCl2 at its PBEsol-relaxed geometry.

```
NbPCCl2
1.0
4.717 0.000 0.000
0.000 4.717 0.000
0.000 0.000 4.931
Nb P C Cl
1 1 1 2
direct
0.000 0.000 0.000 Nb
0.000 0.000 0.500 P
0.500 0.500 0.500 C
0.000 0.500 0.000 Cl
0.500 0.000 0.000 Cl
```

Summary:
Raw formation energy in eV per atom: 1.040
Fermi-level density of states in states/eV/atom: 0.61
E in eV/atom: -12.8767
Symmetry: No. 123